Cd6SbAs2 | the Alexandria database | PBE | optimized geometry; V = 250 Å³/f.u.; DOS(E_F) = 2.1 states/eV per cell; crystal system = monoclinic; formation energy (no corrections) = 0.024 eV/atom; VASP energy = -0.1527 Ry/atom; total moment = 0.000 μB/f.u.
1.0
7.2557 -2.3159 0.0000
7.2557 2.3159 0.0000
-6.2402 0.0000 7.4466
Cd Sb As
6 1 2
Direct
0.0809 0.0809 0.3887
0.2420 0.2420 0.1036
0.3527 0.3527 0.7307
0.6473 0.6473 0.2693
0.7580 0.7580 0.8964
0.9191 0.9191 0.6113
0.0000 0.0000 0.0000
0.1501 0.1501 0.7322
0.8499 0.8499 0.2678

Cd9Sb2As4 | the Alexandria database | PBE | optimized geometry; V = 407 Å³/f.u.; DOS(E_F) = 4.0 states/eV per cell; crystal system = monoclinic; formation energy (no corrections) = -0.027 eV/atom; VASP energy = -0.1739 Ry/atom; total moment = 0.000 μB/f.u.
1.0
6.4552 -3.5705 0.0000
6.4552 3.5705 0.0000
-1.0752 0.0000 17.6443
Cd Sb As
18 4 8
Direct
0.0060 0.7241 0.5264
0.0640 0.3747 0.0900
0.1100 0.4833 0.3172
0.2348 0.7652 0.7500
0.2759 0.9940 0.9736
0.3724 0.5626 0.0962
0.3747 0.0640 0.5900
0.4374 0.6276 0.4038
0.4833 0.1100 0.8172
0.5167 0.8900 0.1828
0.5626 0.3724 0.5962
0.6253 0.9360 0.4100
0.6276 0.4374 0.9038
0.7241 0.0060 0.0264
0.7652 0.2348 0.2500
0.8900 0.5167 0.6828
0.9360 0.6253 0.9100
0.9940 0.2759 0.4736
0.0111 0.0387 0.6231
0.0387 0.0111 0.1231
0.9613 0.9889 0.8769
0.9889 0.9613 0.3769
0.3082 0.3698 0.7011
0.3358 0.3407 0.4584
0.3407 0.3358 0.9584
0.3698 0.3082 0.2011
0.6302 0.6918 0.7989
0.6593 0.6642 0.0415
0.6642 0.6593 0.5416
0.6918 0.6302 0.2989

CdSbAs3 | the Alexandria database | PBE | optimized geometry; V = 148 Å³/f.u.; DOS(E_F) = 6.9 states/eV per cell; crystal system = cubic; formation energy (no corrections) = 0.884 eV/atom; VASP energy = -0.2141 Ry/atom; total moment = 0.000 μB/f.u.
1.0
5.2953 0.0000 0.0000
0.0000 5.2953 0.0000
0.0000 0.0000 5.2953
Cd Sb As
1 1 3
Direct
0.0000 0.0000 0.0000
0.5000 0.5000 0.5000
0.0000 0.5000 0.5000
0.5000 0.0000 0.5000
0.5000 0.5000 0.0000

Cd7Sb2As2 | the Alexandria database | PBE | optimized geometry; V = 306 Å³/f.u.; DOS(E_F) = 3.2 states/eV per cell; crystal system = monoclinic; formation energy (no corrections) = 0.013 eV/atom; VASP energy = -0.1591 Ry/atom; total moment = 0.000 μB/f.u.
1.0
4.6748 -4.6980 0.0000
4.6748 4.6980 0.0000
-0.8060 0.0000 6.9708
Cd Sb As
7 2 2
Direct
0.0000 0.0000 0.0000
0.0135 0.0135 0.5430
0.0176 0.5193 0.0353
0.4838 0.9773 0.5009
0.4850 0.4850 0.0875
0.5193 0.0176 0.0353
0.9773 0.4838 0.5009
0.2745 0.7262 0.7668
0.7262 0.2745 0.7668
0.2342 0.2342 0.2764
0.7632 0.7632 0.2692

Cd6Sb2As | the Alexandria database | PBE | optimized geometry; V = 254 Å³/f.u.; DOS(E_F) = 4.8 states/eV per cell; crystal system = monoclinic; formation energy (no corrections) = 0.026 eV/atom; VASP energy = -0.1482 Ry/atom; total moment = 0.000 μB/f.u.
1.0
7.4688 0.0000 0.0000
0.0000 5.6950 0.0000
-7.4161 0.0000 11.9421
Cd Sb As
12 4 2
Direct
0.0592 0.2027 0.3643
0.0592 0.2973 0.8643
0.3141 0.7190 0.9972
0.3141 0.7810 0.4972
0.3308 0.1985 0.6307
0.3308 0.3015 0.1307
0.6692 0.6985 0.8693
0.6692 0.8015 0.3693
0.6859 0.2190 0.5028
0.6859 0.2810 0.0028
0.9408 0.7027 0.1357
0.9408 0.7973 0.6357
0.3173 0.0046 0.8150
0.3173 0.4954 0.3150
0.6827 0.5046 0.6850
0.6827 0.9954 0.1850
0.0000 0.0000 0.0000
0.0000 0.5000 0.5000

CdSb4As | the Alexandria database | PBE | optimized geometry; V = 169 Å³/f.u.; DOS(E_F) = 5.2 states/eV per cell; crystal system = cubic; formation energy (no corrections) = 0.478 eV/atom; VASP energy = -0.2350 Ry/atom; total moment = 0.000 μB/f.u.
1.0
0.0000 4.3873 4.3873
4.3873 0.0000 4.3873
4.3873 4.3873 0.0000
Cd Sb As
1 4 1
Direct
0.0000 0.0000 0.0000
0.1261 0.6246 0.6246
0.6246 0.1261 0.6246
0.6246 0.6246 0.1261
0.6246 0.6246 0.6246
0.2500 0.2500 0.2500

Cd4SbAs2 | the Alexandria database | PBE | optimized geometry; V = 186 Å³/f.u.; DOS(E_F) = 4.1 states/eV per cell; crystal system = monoclinic; formation energy (no corrections) = 0.047 eV/atom; VASP energy = -0.1759 Ry/atom; total moment = 0.000 μB/f.u.
1.0
12.8354 0.0000 0.0000
0.0000 4.6759 0.0000
-4.3626 0.0000 6.1936
Cd Sb As
8 2 4
Direct
0.1046 0.0000 0.3034
0.1234 0.5000 0.7590
0.3766 0.0000 0.2410
0.3954 0.5000 0.6966
0.6046 0.5000 0.3034
0.6234 0.0000 0.7590
0.8766 0.5000 0.2410
0.8954 0.0000 0.6966
0.0000 0.5000 0.0000
0.5000 0.0000 0.0000
0.2133 0.0000 0.7278
0.2867 0.5000 0.2722
0.7133 0.5000 0.7278
0.7867 0.0000 0.2722

CdSbAs4 | the Alexandria database | PBE | optimized geometry; V = 135 Å³/f.u.; DOS(E_F) = 3.9 states/eV per cell; crystal system = cubic; formation energy (no corrections) = 0.408 eV/atom; VASP energy = -0.2596 Ry/atom; total moment = 0.000 μB/f.u.
1.0
0.0000 4.0704 4.0704
4.0704 0.0000 4.0704
4.0704 4.0704 0.0000
Cd Sb As
1 1 4
Direct
0.0000 0.0000 0.0000
0.7500 0.7500 0.7500
0.3683 0.3683 0.3683
0.3683 0.3683 0.8951
0.3683 0.8951 0.3683
0.8951 0.3683 0.3683